# LiTaAu3

Crystalline LiTaAu3 at its relaxed geometry (GGA-PBEsol, the Alexandria database).

- crystal system = cubic
- ΔH_f (0 K) (eV per atom) = 0.5101

Lattice parameters (Å, degrees): 4.337 4.337 4.337 90.00 90.00 90.00
Fractional positions:
1 Li 0.000 0.000 0.000
2 Ta 0.500 0.500 0.500
3 Au 0.000 0.000 0.500
4 Au 0.000 0.500 0.000
5 Au 0.500 0.000 0.000

# CoBSe2Br

Crystalline CoBSe2Br at its relaxed geometry (GGA-PBEsol, the Alexandria database).

- crystal system = tetragonal
- raw formation energy (eV/atom) = 1.072

Lattice parameters (Å, degrees): 4.502 4.502 5.050 90.00 90.00 90.00
Fractional positions:
1 Co 0.000 0.000 0.000
2 B 0.500 0.500 0.500
3 Se 0.000 0.500 0.000
4 Se 0.500 0.000 0.000
5 Br 0.000 0.000 0.500

# BaCuPb2

Crystalline BaCuPb2 at its relaxed geometry (GGA-PBEsol, the Alexandria database).

- crystal system = orthorhombic
- ΔH_f (0 K) (eV per atom) = -0.0860

Lattice parameters (Å, degrees): 4.558 4.773 11.200 90.00 90.00 90.00
Fractional positions:
1 Ba 0.000 0.000 0.000
2 Ba 0.500 0.500 0.500
3 Cu 0.000 0.500 0.773
4 Cu 0.500 0.000 0.273
5 Pb 0.000 0.000 0.395
6 Pb 0.000 0.500 0.220
7 Pb 0.500 0.000 0.720
8 Pb 0.500 0.500 0.895

# Ho3Ni2Ru4

Crystalline Ho3Ni2Ru4 at its relaxed geometry (GGA-PBEsol, the Alexandria database).

- crystal system = triclinic
- ΔH_f (0 K) (eV per atom) = -0.3656

Lattice parameters (Å, degrees): 5.155 5.163 12.601 89.84 88.69 60.34
Fractional positions:
1 Ho 0.010 0.497 0.125
2 Ho 0.336 0.830 0.458
3 Ho 0.338 0.838 0.206
4 Ho 0.662 0.162 0.794
5 Ho 0.664 0.170 0.542
6 Ho 0.990 0.503 0.875
7 Ni 0.162 0.168 0.667
8 Ni 0.500 0.000 0.000
9 Ni 0.500 0.500 0.000
10 Ni 0.838 0.832 0.333
11 Ru 0.000 0.000 0.000
12 Ru 0.000 0.500 0.500
13 Ru 0.165 0.666 0.668
14 Ru 0.324 0.837 0.837
15 Ru 0.338 0.334 0.332
16 Ru 0.662 0.666 0.668
17 Ru 0.676 0.163 0.163
18 Ru 0.835 0.334 0.332

# Zr2MoBr

Crystalline Zr2MoBr at its relaxed geometry (GGA-PBEsol, the Alexandria database).

- ΔE to the lowest computed polymorph (meV/atom) = 163
- crystal system = monoclinic
- raw formation energy (eV/atom) = -0.047

Lattice parameters (Å, degrees): 7.577 3.269 8.443 90.00 116.50 90.00
Fractional positions:
1 Zr 0.188 0.000 0.312
2 Zr 0.312 0.500 0.688
3 Zr 0.688 0.500 0.312
4 Zr 0.812 0.000 0.688
5 Mo 0.000 0.000 0.500
6 Mo 0.500 0.500 0.500
7 Br 0.000 0.500 0.000
8 Br 0.500 0.000 0.000

# Pr2Ni2I

Crystalline Pr2Ni2I at its relaxed geometry (GGA-PBEsol, the Alexandria database).

- crystal system = hexagonal
- raw formation energy (eV/atom) = -0.682

Lattice parameters (Å, degrees): 4.020 4.020 17.220 90.00 90.00 120.00
Fractional positions:
1 Pr 0.000 0.000 0.106
2 Pr 0.000 0.000 0.394
3 Pr 0.000 0.000 0.606
4 Pr 0.000 0.000 0.894
5 Ni 0.333 0.667 0.000
6 Ni 0.333 0.667 0.500
7 Ni 0.667 0.333 0.000
8 Ni 0.667 0.333 0.500
9 I 0.333 0.667 0.250
10 I 0.667 0.333 0.750

# Gd3SbO7

Crystalline Gd3SbO7 at its relaxed geometry (GGA-PBEsol, the Alexandria database).

- ΔE to the lowest computed polymorph (meV/atom) = 0
- crystal system = orthorhombic
- raw formation energy (eV/atom) = -2.963

Lattice parameters (Å, degrees): 6.483 6.483 7.537 90.00 90.00 109.69
Fractional positions:
1 Gd 0.000 0.000 0.000
2 Gd 0.000 0.000 0.500
3 Gd 0.032 0.500 0.750
4 Gd 0.500 0.032 0.250
5 Gd 0.500 0.968 0.750
6 Gd 0.968 0.500 0.250
7 Sb 0.500 0.500 0.000
8 Sb 0.500 0.500 0.500
9 O 0.129 0.871 0.250
10 O 0.136 0.864 0.750
11 O 0.179 0.428 0.030
12 O 0.179 0.428 0.470
13 O 0.428 0.179 0.530
14 O 0.428 0.179 0.970
15 O 0.432 0.568 0.750
16 O 0.568 0.432 0.250
17 O 0.572 0.821 0.030
18 O 0.572 0.821 0.470
19 O 0.821 0.572 0.530
20 O 0.821 0.572 0.970
21 O 0.864 0.136 0.250
22 O 0.871 0.129 0.750

# PrTlMo2O8

Crystalline PrTlMo2O8 at its relaxed geometry (GGA-PBEsol, the Alexandria database).

- crystal system = tetragonal
- raw formation energy (eV/atom) = -2.240

Lattice parameters (Å, degrees): 6.230 6.230 9.609 90.00 90.00 90.00
Fractional positions:
1 Pr 0.250 0.250 0.250
2 Pr 0.750 0.750 0.750
3 Tl 0.250 0.250 0.750
4 Tl 0.750 0.750 0.250
5 Mo 0.250 0.750 0.000
6 Mo 0.250 0.750 0.500
7 Mo 0.750 0.250 0.000
8 Mo 0.750 0.250 0.500
9 O 0.058 0.630 0.611
10 O 0.058 0.870 0.889
11 O 0.130 0.558 0.111
12 O 0.130 0.942 0.389
13 O 0.370 0.558 0.389
14 O 0.370 0.942 0.111
15 O 0.442 0.630 0.889
16 O 0.442 0.870 0.611
17 O 0.558 0.130 0.389
18 O 0.558 0.370 0.111
19 O 0.630 0.058 0.889
20 O 0.630 0.442 0.611
21 O 0.870 0.058 0.611
22 O 0.870 0.442 0.889
23 O 0.942 0.130 0.111
24 O 0.942 0.370 0.389

Number 1: DFT total energy -4.748 eV per atom. Number 2: DFT total energy -3.793 eV per atom. Number 3: DFT total energy -3.706 eV per atom. Number 4: DFT total energy -7.905 eV per atom. Number 5: DFT total energy -8.001 eV per atom. Number 6: DFT total energy -5.572 eV per atom. Number 7: DFT total energy -10.658 eV per atom. Number 8: DFT total energy -8.352 eV per atom.